(1)
This record from Alexandria describes a relaxed Ho2ScPb2 crystal. The functional is PBE.

Output
* SG: Cmcm (63)
* E: -5.010 eV per atom
* total magnetization: 0.0002 μB/atom

a = 4.959 Å, b = 6.438 Å, c = 9.128 Å
α = 90.00°, β = 105.76°, γ = 90.00°
Positions (direct):
Ho: 0.194 0.977 0.389
Ho: 0.000 0.227 0.000
Ho: 0.806 0.477 0.611
Ho: 0.000 0.727 0.000
Pb: 0.422 0.477 0.844
Pb: 0.814 0.977 0.628
Pb: 0.578 0.977 0.156
Pb: 0.186 0.477 0.372
Sc: 0.601 0.477 0.203
Sc: 0.399 0.977 0.797

---

(2)
This record from Alexandria describes a relaxed HoSc2Pb crystal. The functional is PBE.

Output
* SG: P4/mmm (123)
* E: -5.392 eV per atom
* ΔE to the lowest computed polymorph: 0.685 eV/f.u.
* total magnetization: 0.0003 μB/atom

a = 3.559 Å, b = 3.559 Å, c = 8.287 Å
α = 90.00°, β = 90.00°, γ = 90.00°
Positions (direct):
Pb: 0.500 0.500 0.000
Sc: 0.000 0.000 0.235
Sc: 0.000 0.000 0.765
Ho: 0.500 0.500 0.500

---

(3)
This record from Alexandria describes a relaxed HoScPb crystal. The functional is PBE.

Output
* SG: I4mm (107)
* E: -5.119 eV per atom
* ΔE to the lowest computed polymorph: 0.593 eV/f.u.
* total magnetization: 0.4549 μB/atom

a = 3.820 Å, b = 3.820 Å, c = 6.120 Å
α = 108.18°, β = 108.18°, γ = 90.00°
Each line ends with the local moment (μB).
Positions (direct):
Pb: 0.940 0.940 0.880  0.02
Ho: 0.614 0.614 0.229  0.44
Sc: 0.296 0.296 0.591  0.42

---

(4)
This record from Alexandria describes a relaxed HoSc2Pb crystal. The functional is PBE.

Output
* SG: Fm-3m (225)
* E: -5.329 eV per atom
* ΔE to the lowest computed polymorph: 0.936 eV/f.u.
* total magnetization: 0.4192 μB/atom

a = 5.205 Å, b = 5.205 Å, c = 5.205 Å
α = 60.00°, β = 60.00°, γ = 60.00°
Each line ends with the local moment (μB).
Positions (direct):
Pb: 0.500 0.500 0.500  -0.02
Sc: 0.250 0.250 0.250  0.34
Sc: 0.750 0.750 0.750  0.34
Ho: 0.000 0.000 0.000  0.49

---

Energy relative to the elements in eV per atom, matching the order above: -0.429, -0.155, -0.246, -0.092
D(E_F) in states/eV/cell, matching the order above: 7.4, 5.5, 2.7, 5.3